FeWCl2, single point on PBEsol structure, DFT meta-GGA SCAN; DOS at the Fermi energy = 0.689 states/eV per atom; E_form (uncorrected) = 0.57 eV per atom; size of the total moment = 0.788 μB/atom; total DFT energy (no corrections) = -101.48 eV/cell
1.0
-1.830 -2.054 0.963
3.108 -3.013 -0.523
1.080 3.414 4.923
Fe W Cl
1 1 2
direct
0.431 0.431 0.862
0.761 0.261 0.521
0.051 0.051 0.103
0.257 0.757 0.514